[1]
The following is a PBE calculation of a geometry-optimized Pm4GaSi2 structure, from Alexandria via LeMat-Bulk.

Lattice parameters (Å, degrees): 7.726 7.726 7.612 117.65 117.65 31.63
Sites, in units of the cell vectors:
1 Pm 0.124 0.124 0.329
2 Pm 0.363 0.363 0.206
3 Pm 0.637 0.637 0.794
4 Pm 0.876 0.876 0.671
5 Ga 0.500 0.500 0.000
6 Si 0.267 0.267 0.765
7 Si 0.733 0.733 0.235

The space group is No. 12. As for the crystal system: monoclinic. For the total energy, the calculation gives -35.9 eV/f.u.

[2]
The following is a PBE calculation of a geometry-optimized PmGaSi2 structure, from Alexandria via LeMat-Bulk.

Lattice parameters (Å, degrees): 4.273 4.273 4.284 90.00 90.00 90.00
Sites, in units of the cell vectors:
1 Pm 0.000 0.000 0.000
2 Ga 0.500 0.500 0.000
3 Si 0.000 0.500 0.500
4 Si 0.500 0.000 0.500

The space group is No. 123. For the polymorph energy (0 for the lowest one), the calculation gives 0.0 meV per atom. As for the crystal system: tetragonal. For the total energy, the calculation gives -19.8 eV/f.u.